Entry 1:
ZrV2As PBE optimized geometry; symmetry = No. 225
1.0
2.541 -3.603 0.343
-1.854 -4.014 0.079
0.462 -2.717 -3.458
As Zr V
1 1 2
direct
0.000 0.000 0.000
0.500 0.500 0.500
0.250 0.250 0.250
0.750 0.750 0.750

Entry 2:
AsW5 PBE optimized geometry; symmetry = No. 123
1.0
-3.083 -0.219 0.789
-0.740 -0.570 -3.050
1.034 -9.249 1.477
As W
1 5
direct
0.500 0.500 0.000
0.000 0.000 0.835
0.000 0.000 0.165
0.500 0.500 0.666
0.500 0.500 0.334
0.000 0.000 0.500

Entry 3:
As2W PBE optimized geometry; symmetry = No. 189
1.0
5.440 0.193 -4.839
-6.616 2.414 -1.860
0.803 2.990 1.022
As W
6 3
direct
0.279 0.000 0.000
0.000 0.279 0.000
0.721 0.721 0.000
0.622 0.000 0.500
0.000 0.622 0.500
0.378 0.378 0.500
0.333 0.667 0.000
0.667 0.333 0.000
0.000 0.000 0.500

Entry 4:
As2W PBE optimized geometry; symmetry = No. 139
1.0
6.053 -0.071 0.000
4.458 4.096 0.000
-5.256 -2.013 2.231
As W
2 1
direct
0.368 0.368 0.000
0.632 0.632 0.000
0.000 0.000 0.000

Entry 5:
As3W PBE optimized geometry; symmetry = No. 44
1.0
5.129 -0.003 -0.001
1.282 4.966 0.001
-2.395 -3.529 2.849
As W
3 1
direct
0.667 0.689 0.978
0.289 0.311 0.978
0.117 0.500 0.617
0.761 0.000 0.761

Entry 6:
AsW PBE optimized geometry; symmetry = No. 194
1.0
-1.511 1.570 -2.237
-1.469 -2.247 1.596
-2.288 5.168 5.172
As W
2 2
direct
0.000 0.000 0.000
0.000 0.000 0.500
0.333 0.667 0.250
0.667 0.333 0.750

no.,DOS(E_F) (states/eV/cell),final energy (eV per atom),calculated formation energy (meV per atom)
1,4.6,-7.921,-63
2,4.7,-11.365,204
3,1.9,-7.326,91
4,1.9,-7.214,203
5,2.2,-6.597,129
6,2.1,-8.410,391